1.
VASP calculation (PBE) on a relaxed SmHoPt2 crystal.

a = 4.4947 Å, b = 5.6536 Å, c = 5.6536 Å
α = 39.42°, β = 90.00°, γ = 90.00°
Last column: nearest neighbours and their distance in Å.
Element x y z (fractional)
Sm (0.0000, 0.0000, 0.0000)  7 Pt 2.90-3.08
Ho (0.5000, 0.7244, 0.7244)  7 Pt 2.94-3.05
Pt (0.0000, 0.2727, 0.2727)  3 Sm 2.90-3.08, 2 Pt 2.92, 4 Ho 2.99
Pt (0.5000, 0.4485, 0.4485)  2 Pt 2.92, 3 Ho 2.94-3.05, 4 Sm 3.00

Computed properties:
As for the magnetization: 0.0 μB per cell. For the energy, the calculation gives -6.5864 eV/atom. The formation energy comes out at -1.24 eV/atom. For the calculated density, the calculation gives 12.8 g/cm3. The value obtained for the energy relative to the lowest polymorph listed for this composition is 0 meV/atom.

***

2.
VASP calculation (PBE) on a relaxed MnCd2As crystal.

a = 6.5677 Å, b = 6.5677 Å, c = 4.7354 Å
α = 111.07°, β = 111.07°, γ = 25.74°
Last column: nearest neighbours and their distance in Å.
Element x y z (fractional)
Mn (0.0000, 0.0000, 0.0000)  2 As 2.54, 4 Cd 2.80
Cd (0.5274, 0.5274, 0.5275)  4 Mn 2.80, 2 Cd 2.93
Cd (0.7103, 0.7103, 0.2106)  2 Mn 2.90, 4 Cd 2.93-3.22, 4 As 3.10-3.11
As (0.3255, 0.3255, 0.8264)  2 Mn 2.54

Computed properties:
As for the magnetization: 3.3 μB per cell. For the energy, the calculation gives -3.7888 eV/atom. The formation energy comes out at 0.12 eV/atom. For the calculated density, the calculation gives 7.1 g/cm3.

***

3.
VASP calculation (PBE) on a relaxed Li2SbP2 crystal.

a = 5.8276 Å, b = 5.8276 Å, c = 5.8276 Å
α = 138.06°, β = 138.06°, γ = 60.82°
Last column: nearest neighbours and their distance in Å.
Element x y z (fractional)
Li (0.2500, 0.7500, 0.5000)  4 P 2.53
Li (0.7500, 0.2500, 0.5000)  4 P 2.53
Sb (0.0000, 0.0000, 0.0000)  8 P 3.14, 8 Li 3.27
P (0.3926, 0.3926, 0.0000)  1 P 2.16
P (0.6074, 0.6074, 0.0000)  1 P 2.16

Computed properties:
As for the magnetization: 0.0 μB per cell. For the energy, the calculation gives -3.9370 eV/atom. The uncorrected formation energy comes out at -0.183 eV/atom. For the calculated density, the calculation gives 3.8 g/cm3. The value obtained for the energy relative to the lowest polymorph listed for this composition is 92 meV/atom.

***

4.
VASP calculation (PBE) on a relaxed KCr2CdS crystal.

a = 5.3177 Å, b = 5.3177 Å, c = 5.3295 Å
α = 90.00°, β = 90.00°, γ = 90.00°
Last column: nearest neighbours and their distance in Å.
Element x y z (fractional)
K (0.0000, 0.0000, 0.0000)  4 S 3.76, 8 Cr 3.76
Cr (0.0000, 0.5000, 0.5000)  2 Cd 2.66
Cr (0.5000, 0.0000, 0.5000)  2 Cd 2.66
Cd (0.5000, 0.5000, 0.5000)  4 Cr 2.66, 2 S 2.66
S (0.5000, 0.5000, 0.0000)  2 Cd 2.66

Computed properties:
As for the magnetization: 10.1 μB per cell. For the energy, the calculation gives -4.2296 eV/atom. The uncorrected formation energy comes out at 0.848 eV/atom. For the calculated density, the calculation gives 3.2 g/cm3.

***

5.
VASP calculation (PBE) on a relaxed NaMnCd2Cl8 crystal.

a = 6.1150 Å, b = 7.7134 Å, c = 6.5667 Å
α = 90.00°, β = 91.11°, γ = 90.00°
Last column: nearest neighbours and their distance in Å.
Element x y z (fractional)
Na (0.0000, 0.0000, 0.0000)  6 Cl 2.75-2.85
Mn (0.0000, 0.5000, 0.0000)  4 Cl 2.29
Cd (0.5000, 0.2548, 0.5000)  6 Cl 2.60-2.89
Cd (0.5000, 0.7452, 0.5000)  6 Cl 2.60-2.89
Cl (0.2148, 0.2890, 0.1453)  1 Mn 2.29
Cl (0.2148, 0.7110, 0.1453)  1 Mn 2.29
Cl (0.2652, 0.5000, 0.6594)  2 Cd 2.61, 1 Mn 2.79
Cl (0.2863, 0.0000, 0.6617)  2 Cd 2.60, 1 Na 2.85
Cl (0.7137, 0.0000, 0.3383)  2 Cd 2.60, 1 Na 2.85
Cl (0.7348, 0.5000, 0.3406)  2 Cd 2.61, 1 Mn 2.79
Cl (0.7852, 0.2890, 0.8547)  1 Mn 2.29
Cl (0.7852, 0.7110, 0.8547)  1 Mn 2.29

Computed properties:
As for the magnetization: 4.0 μB per cell. For the energy, the calculation gives -3.3897 eV/atom. The uncorrected formation energy comes out at -1.132 eV/atom. For the calculated density, the calculation gives 3.1 g/cm3.

***

6.
VASP calculation (PBE) on a relaxed Li2Pm2ErGa2 crystal.

a = 9.3279 Å, b = 9.3279 Å, c = 9.3279 Å
α = 28.60°, β = 28.60°, γ = 28.60°
Last column: nearest neighbours and their distance in Å.
Element x y z (fractional)
Li (0.1105, 0.1105, 0.1105)  3 Ga 2.68
Li (0.8895, 0.8895, 0.8895)  3 Ga 2.68
Pm (0.3751, 0.3751, 0.3751)  3 Ga 3.08, 3 Li 3.24, 1 Er 3.35
Pm (0.6249, 0.6249, 0.6249)  3 Ga 3.08, 3 Li 3.24, 1 Er 3.35
Er (0.5000, 0.5000, 0.5000)  6 Li 3.06, 6 Ga 3.21, 2 Pm 3.35
Ga (0.2335, 0.2335, 0.2335)  3 Li 2.68
Ga (0.7665, 0.7665, 0.7665)  3 Li 2.68

Computed properties:
As for the magnetization: 0.0 μB per cell. For the energy, the calculation gives -3.7022 eV/atom. The formation energy comes out at -0.28 eV/atom. For the calculated density, the calculation gives 6.2 g/cm3.

***

7.
VASP calculation (PBE) on a relaxed Cs3Er2CdSe6 crystal.

a = 7.3331 Å, b = 7.3331 Å, c = 8.7302 Å
α = 98.01°, β = 98.01°, γ = 119.97°
Last column: nearest neighbours and their distance in Å.
Element x y z (fractional)
Cs (0.0000, 0.0000, 0.0000)  6 Se 3.58-3.61
Cs (0.3357, 0.6643, 0.0000)  6 Se 3.59-3.61
Cs (0.6643, 0.3357, 0.0000)  6 Se 3.59-3.61
Er (0.1670, 0.8330, 0.5000)  6 Se 2.88
Er (0.8330, 0.1670, 0.5000)  6 Se 2.88
Cd (0.5000, 0.5000, 0.5000)  6 Se 2.92-2.93
Se (0.0995, 0.4383, 0.3150)  2 Er 2.88, 1 Cd 2.93
Se (0.2229, 0.2229, 0.6838)  2 Er 2.88, 1 Cd 2.92
Se (0.4383, 0.0995, 0.3150)  2 Er 2.88, 1 Cd 2.93
Se (0.5617, 0.9005, 0.6850)  2 Er 2.88, 1 Cd 2.93
Se (0.7771, 0.7771, 0.3162)  2 Er 2.88, 1 Cd 2.92
Se (0.9005, 0.5617, 0.6850)  2 Er 2.88, 1 Cd 2.93

Computed properties:
As for the magnetization: 0.0 μB per cell. For the energy, the calculation gives -4.1000 eV/atom. The uncorrected formation energy comes out at -1.308 eV/atom. For the calculated density, the calculation gives 5.6 g/cm3.

***

8.
VASP calculation (PBE) on a relaxed LiZrCrCd2 crystal.

a = 4.4068 Å, b = 4.4068 Å, c = 4.8865 Å
α = 90.00°, β = 90.00°, γ = 90.00°
Last column: nearest neighbours and their distance in Å.
Element x y z (fractional)
Li (0.0000, 0.0000, 0.0000)  4 Cd 2.20, 2 Zr 2.44
Zr (0.0000, 0.0000, 0.5000)  2 Li 2.44
Cr (0.5000, 0.5000, 0.5000)  4 Zr 3.12, 8 Cd 3.29
Cd (0.0000, 0.5000, 0.0000)  2 Li 2.20
Cd (0.5000, 0.0000, 0.0000)  2 Li 2.20

Computed properties:
As for the magnetization: 0.2 μB per cell. For the energy, the calculation gives -3.4192 eV/atom. The formation energy comes out at 0.96 eV/atom. For the calculated density, the calculation gives 6.6 g/cm3.

***

9.
VASP calculation (PBE) on a relaxed BaO2F crystal.

a = 10.2857 Å, b = 10.2857 Å, c = 10.2857 Å
α = 159.52°, β = 159.52°, γ = 29.12°
Last column: nearest neighbours and their distance in Å.
Element x y z (fractional)
Ba (0.0000, 0.0000, 0.0000)  4 F 2.59
Ba (0.7500, 0.2500, 0.5000)  4 F 2.59
O (0.3471, 0.6250, 0.2221)  2 O 1.84
O (0.3750, 0.5971, 0.7221)  2 O 1.84
O (0.4029, 0.1250, 0.7779)  2 O 1.84
O (0.8750, 0.6529, 0.2779)  2 O 1.84
F (0.2500, 0.7500, 0.5000)  4 Ba 2.59, 4 O 2.65
F (0.5000, 0.5000, 0.0000)  4 Ba 2.59, 4 O 2.65

Computed properties:
As for the magnetization: 2.0 μB per cell. For the energy, the calculation gives -4.8581 eV/atom. The uncorrected formation energy comes out at -1.431 eV/atom. For the calculated density, the calculation gives 4.7 g/cm3. The value obtained for the energy relative to the lowest polymorph listed for this composition is 627 meV/atom.

***

10.
VASP calculation (PBE) on a relaxed Pr8Dy3Tm4 crystal.

a = 9.2299 Å, b = 9.2299 Å, c = 6.8821 Å
α = 110.37°, β = 110.37°, γ = 83.30°
Last column: nearest neighbours and their distance in Å.
Element x y z (fractional)
Pr (0.2050, 0.2050, 0.1727)  4 Pr 3.40-3.60, 2 Dy 3.45, 3 Tm 3.62-3.68
Pr (0.2062, 0.7938, 0.0000)  2 Dy 3.49, 4 Pr 3.49-3.56, 3 Tm 3.60
Pr (0.2547, 0.7453, 0.5000)  1 Tm 3.01, 1 Dy 3.12
Pr (0.2574, 0.2574, 0.7074)  1 Tm 3.00, 1 Dy 3.15
Pr (0.7426, 0.7426, 0.2926)  1 Tm 3.00, 1 Dy 3.15
Pr (0.7453, 0.2547, 0.5000)  1 Tm 3.01, 1 Dy 3.12
Pr (0.7938, 0.2062, 0.0000)  2 Dy 3.49, 4 Pr 3.49-3.56, 3 Tm 3.60
Pr (0.7950, 0.7950, 0.8273)  4 Pr 3.40-3.60, 2 Dy 3.45, 3 Tm 3.62-3.68
Dy (0.0000, 0.0000, 0.5000)  4 Pr 3.12-3.15
Dy (0.0000, 0.5000, 0.0000)  2 Tm 3.44, 8 Pr 3.45-3.70
Dy (0.5000, 0.0000, 0.0000)  2 Tm 3.44, 8 Pr 3.45-3.70
Tm (0.0000, 0.5000, 0.5000)  8 Pr 3.36-3.68, 2 Dy 3.44
Tm (0.5000, 0.0000, 0.5000)  8 Pr 3.36-3.68, 2 Dy 3.44
Tm (0.5000, 0.5000, 0.0000)  2 Pr 3.00
Tm (0.5000, 0.5000, 0.5000)  2 Pr 3.01

Computed properties:
As for the magnetization: 0.0 μB per cell. For the energy, the calculation gives -4.3286 eV/atom. The formation energy comes out at 0.33 eV/atom. For the calculated density, the calculation gives 7.4 g/cm3.